# 1
{
  "formula": "Fe2Co15Ge2",
  "functional": "GGA-PBE",
  "state": "optimized geometry",
  "dos_ef_per_ev_cell": 23.5,
  "e_form_ev_per_fu": 3.78,
  "lattice_angstrom": [[0.921, 5.807, 2.042], [-3.478, -0.112, 5.161], [4.423, -1.045, 4.253]],
  "species": ["Co", "Co", "Co", "Co", "Co", "Co", "Ge", "Co", "Co", "Co", "Fe", "Co", "Co", "Fe", "Co", "Ge", "Co", "Co", "Co"],
  "fractional_positions": [[0.651, 0.156, 0.651], [0.000, 0.000, 0.500], [0.306, 0.694, 0.000], [0.000, 0.694, 0.306], [0.349, 0.349, 0.844], [0.844, 0.349, 0.349], [0.370, 0.370, 0.370], [0.349, 0.844, 0.349], [0.694, 0.306, 0.000], [0.156, 0.651, 0.651], [0.096, 0.096, 0.096], [0.500, 0.000, 0.000], [0.000, 0.306, 0.694], [0.904, 0.904, 0.904], [0.000, 0.500, 0.000], [0.630, 0.630, 0.630], [0.694, 0.000, 0.306], [0.306, 0.000, 0.694], [0.651, 0.651, 0.156]]
}


# 2
{
  "formula": "TlBPb2C",
  "functional": "GGA-PBE",
  "state": "optimized geometry",
  "dos_ef_per_ev_cell": 2.9,
  "e_form_ev_per_fu": 11.15,
  "lattice_angstrom": [[-2.049, 3.869, -4.180], [-1.751, -3.009, -1.927], [-5.034, 0.847, 3.251]],
  "species": ["Pb", "Tl", "Pb", "C", "B"],
  "fractional_positions": [[0.500, 0.000, 0.000], [0.000, 0.000, 0.000], [0.000, 0.000, 0.500], [0.000, 0.500, 0.000], [0.500, 0.500, 0.500]]
}


# 3
{
  "formula": "TbCeN2",
  "functional": "GGA-PBE",
  "state": "optimized geometry",
  "dos_ef_per_ev_cell": 2.7,
  "e_form_raw_ev_per_atom": -1.3700,
  "lattice_angstrom": [[3.454, 0.000, 0.000], [1.727, 2.992, 0.000], [1.727, 0.997, 6.044]],
  "species": ["N", "Tb", "N", "Ce"],
  "fractional_positions": [[0.250, 0.250, 0.249], [0.671, 0.671, 0.987], [0.079, 0.079, 0.762], [0.499, 0.499, 0.502]]
}


# 4
{
  "formula": "InPt2Au2",
  "functional": "GGA-PBE",
  "state": "optimized geometry",
  "dos_ef_per_ev_cell": 3.6,
  "e_form_ev_per_fu": 0.42,
  "lattice_angstrom": [[3.804, 0.000, 0.000], [0.000, 3.804, 0.000], [1.902, 1.902, 6.839]],
  "species": ["Au", "Au", "Pt", "In", "Pt"],
  "fractional_positions": [[0.401, 0.401, 0.199], [0.599, 0.599, 0.801], [0.750, 0.250, 0.500], [0.000, 0.000, 0.000], [0.250, 0.750, 0.500]]
}


# 5
{
  "formula": "Pu2CoTc",
  "functional": "GGA-PBE",
  "state": "optimized geometry",
  "dos_ef_per_ev_cell": 11.0,
  "e_form_ev_per_fu": 0.19,
  "lattice_angstrom": [[-2.919, 0.265, 1.559], [-1.429, -1.847, -2.361], [1.377, -5.569, 3.525]],
  "species": ["Co", "Tc", "Pu", "Pu"],
  "fractional_positions": [[0.500, 0.500, 0.000], [0.500, 0.500, 0.500], [0.000, 0.000, 0.759], [0.000, 0.000, 0.241]]
}


# 6
{
  "formula": "BaNbO3",
  "functional": "GGA-PBE",
  "state": "optimized geometry",
  "dos_ef_per_ev_cell": 0.0,
  "e_form_raw_ev_per_atom": -2.6007,
  "lattice_angstrom": [[20.792, 0.000, 3.807], [0.000, 5.434, 0.000], [-6.677, 0.000, 1.510]],
  "species": ["O", "O", "O", "O", "O", "Ba", "Nb", "O", "Nb", "Nb", "Ba", "Ba", "O", "O", "O", "O", "O", "Ba", "Nb", "O"],
  "fractional_positions": [[0.081, 0.680, 0.588], [0.564, 0.585, 0.515], [0.319, 0.915, 0.011], [0.936, 0.085, 0.985], [0.681, 0.085, 0.989], [0.329, 0.707, 0.618], [0.449, 0.220, 0.279], [0.419, 0.180, 0.912], [0.949, 0.280, 0.779], [0.051, 0.720, 0.221], [0.171, 0.207, 0.882], [0.829, 0.793, 0.118], [0.581, 0.820, 0.088], [0.181, 0.415, 0.489], [0.819, 0.585, 0.511], [0.064, 0.915, 0.015], [0.919, 0.320, 0.412], [0.671, 0.293, 0.382], [0.551, 0.780, 0.721], [0.436, 0.415, 0.485]]
}


# 7
{
  "formula": "Sr5BN6",
  "functional": "GGA-PBE",
  "state": "optimized geometry",
  "dos_ef_per_ev_cell": 3.9,
  "e_form_raw_ev_per_atom": -0.5250,
  "lattice_angstrom": [[4.186, -0.013, 0.000], [1.179, 6.418, 0.000], [0.590, 3.209, 8.300]],
  "species": ["Sr", "Sr", "N", "B", "N", "N", "Sr", "Sr", "N", "N", "N", "Sr"],
  "fractional_positions": [[0.000, 0.311, 0.379], [0.500, 0.869, 0.262], [0.383, 0.947, 0.538], [0.000, 0.000, 0.000], [0.383, 0.485, 0.462], [0.916, 0.806, 0.000], [0.000, 0.689, 0.621], [0.500, 0.500, 0.000], [0.084, 0.194, 0.000], [0.617, 0.515, 0.538], [0.617, 0.053, 0.462], [0.500, 0.131, 0.738]]
}


# 8
{
  "formula": "Pm2Dy3Sc8",
  "functional": "GGA-PBE",
  "state": "optimized geometry",
  "dos_ef_per_ev_cell": 21.8,
  "e_form_ev_per_fu": 3.89,
  "lattice_angstrom": [[-1.564, 3.778, -4.871], [-0.520, -6.861, -5.154], [-6.197, 2.039, 5.080]],
  "species": ["Sc", "Dy", "Sc", "Sc", "Sc", "Pm", "Sc", "Sc", "Dy", "Sc", "Dy", "Pm", "Sc"],
  "fractional_positions": [[0.440, 0.432, 0.215], [0.500, 0.000, 0.000], [0.560, 0.217, 0.785], [0.127, 0.420, 0.840], [0.754, 0.222, 0.444], [0.750, 0.793, 0.586], [0.440, 0.783, 0.215], [0.246, 0.778, 0.556], [0.000, 0.178, 0.000], [0.560, 0.568, 0.785], [0.000, 0.822, 0.000], [0.250, 0.207, 0.414], [0.873, 0.580, 0.160]]
}


# 9
{
  "formula": "Sm3TmHg2",
  "functional": "GGA-PBE",
  "state": "optimized geometry",
  "dos_ef_per_ev_cell": 5.9,
  "e_form_ev_per_fu": -2.02,
  "lattice_angstrom": [[-3.531, 3.005, -2.410], [2.968, -1.470, -6.182], [-5.694, -7.462, -0.959]],
  "species": ["Sm", "Sm", "Hg", "Tm", "Hg", "Tm", "Hg", "Sm", "Sm", "Hg", "Sm", "Sm"],
  "fractional_positions": [[0.000, 0.487, 0.949], [0.000, 0.321, 0.330], [0.500, 0.731, 0.847], [0.500, 0.514, 0.552], [0.500, 0.231, 0.153], [0.500, 0.014, 0.448], [0.000, 0.270, 0.650], [0.500, 0.677, 0.177], [0.000, 0.821, 0.670], [0.000, 0.770, 0.350], [0.500, 0.177, 0.823], [0.000, 0.987, 0.051]]
}


# 10
{
  "formula": "Ba7Sn2H2",
  "functional": "GGA-PBE",
  "state": "optimized geometry",
  "dos_ef_per_ev_cell": 9.8,
  "dft_energy_ev_per_atom": -2.83,
  "lattice_angstrom": [[6.968, -0.513, -0.587], [-1.001, 8.493, 0.136], [-1.001, -0.995, 8.436]],
  "species": ["Ba", "Ba", "Ba", "H", "Ba", "Sn", "Ba", "Ba", "Ba", "H", "Sn"],
  "fractional_positions": [[0.267, 0.464, 0.125], [0.733, 0.536, 0.875], [0.772, 0.375, 0.375], [0.568, 0.782, 0.782], [0.733, 0.875, 0.536], [0.000, 0.749, 0.251], [0.500, 0.000, 0.000], [0.267, 0.125, 0.464], [0.228, 0.625, 0.625], [0.432, 0.218, 0.218], [0.000, 0.251, 0.749]]
}


# 11
{
  "formula": "CsZn2SnP",
  "functional": "GGA-PBE",
  "state": "optimized geometry",
  "dos_ef_per_ev_cell": 1.7,
  "e_form_ev_per_fu": 1.30,
  "lattice_angstrom": [[5.503, 0.000, 0.000], [0.000, 5.344, 0.000], [0.000, 0.000, 5.503]],
  "species": ["P", "Zn", "Zn", "Sn", "Cs"],
  "fractional_positions": [[0.000, 0.500, 0.000], [0.500, 0.000, 0.000], [0.000, 0.000, 0.500], [0.000, 0.000, 0.000], [0.500, 0.500, 0.500]]
}


# 12
{
  "formula": "NaEuHfTiO6",
  "functional": "GGA-PBE",
  "state": "optimized geometry",
  "dos_ef_per_ev_cell": 10.4,
  "e_form_raw_ev_per_atom": -2.8702,
  "lattice_angstrom": [[0.000, 4.003, 4.003], [4.003, 0.000, 4.003], [4.003, 4.003, 0.000]],
  "species": ["O", "O", "Eu", "O", "Hf", "Ti", "Na", "O", "O", "O"],
  "fractional_positions": [[0.744, 0.256, 0.256], [0.256, 0.744, 0.256], [0.250, 0.250, 0.250], [0.256, 0.256, 0.744], [0.000, 0.000, 0.000], [0.500, 0.500, 0.500], [0.750, 0.750, 0.750], [0.256, 0.744, 0.744], [0.744, 0.256, 0.744], [0.744, 0.744, 0.256]]
}